1.
NdMgNi17 | PBE | relaxed

Summary:
N(E_F), states/eV per cell: 82.81
DFT formation energy, eV per atom: -0.0714

a = 8.2727 Å, b = 8.2727 Å, c = 12.0500 Å
α = 90.00°, β = 90.00°, γ = 120.00°
Space group R3m (No. 160, hexagonal axes)
Unique sites:
Nd: 0.0000 0.0000 0.0000 (multiplicity 3)
Mg: 0.0000 0.0000 0.3180 (multiplicity 3)
Ni: 0.0000 0.0000 0.5556 (multiplicity 3)
Ni: 0.0000 0.0000 0.7539 (multiplicity 3)
Ni: 0.0408 0.3719 0.3237 (multiplicity 18)
Ni: 0.1677 0.3353 0.4905 (multiplicity 9)
Ni: 0.1691 0.3381 0.8376 (multiplicity 9)
Ni: 0.1702 0.3405 0.1437 (multiplicity 9)

***

2.
Nd2MgNi2 | PBE | relaxed

Summary:
N(E_F), states/eV per cell: 9.21
DFT formation energy, eV per atom: -0.2998

a = 4.022 Å, b = 14.581 Å, c = 3.858 Å
α = 90.00°, β = 90.00°, γ = 90.00°
Space group Cmmm (No. 65)
Unique sites:
Nd: 0.000 0.139 0.000 (multiplicity 4)
Mg: 0.000 0.500 0.500 (multiplicity 2)
Ni: 0.000 0.299 0.500 (multiplicity 4)

***

Which value of N(E_F) does entry 2 give? 9.21 states/eV per cell